Entry 1:
Compound: Gd2OsBr
Source: Alexandria
Functional: PBE-GGA
Structure: relaxed

a = 3.409 Å, b = 3.409 Å, c = 8.215 Å
α = 90.00°, β = 90.00°, γ = 90.00°
Fractional positions:
Gd 0.000 0.000 0.792
Gd 0.000 0.000 0.208
Os 0.500 0.500 0.000
Br 0.500 0.500 0.500

Computed properties:
raw total energy: -43.89 eV/cell
offset from the most stable computed form: 0.0000 eV per atom

=====

Entry 2:
Compound: Gd2OsBr
Source: Alexandria
Functional: PBE-GGA
Structure: relaxed

a = 4.050 Å, b = 4.050 Å, c = 7.989 Å
α = 75.32°, β = 75.32°, γ = 60.00°
Fractional positions:
Gd 0.732 0.732 0.804
Gd 0.268 0.268 0.196
Os 0.000 0.000 0.000
Br 0.500 0.500 0.500

Computed properties:
raw total energy: -43.74 eV/cell
offset from the most stable computed form: 0.0366 eV per atom

=====

Entry 3:
Compound: Gd2PbBr
Source: Alexandria
Functional: PBE-GGA
Structure: relaxed

a = 4.518 Å, b = 4.518 Å, c = 7.255 Å
α = 71.86°, β = 71.86°, γ = 60.00°
Fractional positions:
Pb 0.000 0.000 0.000
Gd 0.251 0.251 0.246
Gd 0.749 0.749 0.754
Br 0.500 0.500 0.500

Computed properties:
raw total energy: -36.80 eV/cell

=====

Entry 4:
Compound: Gd2PdBr
Source: Alexandria
Functional: PBE-GGA
Structure: relaxed

a = 4.106 Å, b = 4.106 Å, c = 8.011 Å
α = 75.15°, β = 75.15°, γ = 60.00°
Fractional positions:
Gd 0.266 0.266 0.203
Gd 0.734 0.734 0.797
Br 0.500 0.500 0.500
Pd 0.000 0.000 0.000

Computed properties:
raw total energy: -39.08 eV/cell

=====

Entry 5:
Compound: GdPdBr2
Source: Alexandria
Functional: PBE-GGA
Structure: relaxed

a = 3.988 Å, b = 3.988 Å, c = 8.876 Å
α = 77.02°, β = 77.02°, γ = 60.00°
Fractional positions:
Gd 0.000 0.000 0.000
Br 0.107 0.107 0.680
Br 0.893 0.893 0.320
Pd 0.500 0.500 0.500

Computed properties:
raw total energy: -24.06 eV/cell

=====

Entry 6:
Compound: PmGd2Br
Source: Alexandria
Functional: PBE-GGA
Structure: relaxed

a = 3.698 Å, b = 3.698 Å, c = 10.560 Å
α = 79.92°, β = 79.92°, γ = 60.00°
Fractional positions:
Gd 0.742 0.742 0.775
Gd 0.258 0.258 0.225
Br 0.000 0.000 0.000
Pm 0.500 0.500 0.500

Computed properties:
raw total energy: -36.78 eV/cell
offset from the most stable computed form: 0.0000 eV per atom

=====

Entry 7:
Compound: PmGdBr2
Source: Alexandria
Functional: PBE-GGA
Structure: relaxed

a = 3.733 Å, b = 3.733 Å, c = 10.402 Å
α = 79.66°, β = 79.66°, γ = 60.00°
Fractional positions:
Gd 0.000 0.000 0.000
Br 0.096 0.096 0.711
Br 0.904 0.904 0.289
Pm 0.500 0.500 0.500

Computed properties:
raw total energy: -26.43 eV/cell

=====

Entry 8:
Compound: Pm2GdBr
Source: Alexandria
Functional: PBE-GGA
Structure: relaxed

a = 3.708 Å, b = 3.708 Å, c = 10.711 Å
α = 80.03°, β = 80.03°, γ = 60.00°
Fractional positions:
Gd 0.500 0.500 0.500
Br 0.000 0.000 0.000
Pm 0.742 0.742 0.774
Pm 0.258 0.258 0.226

Computed properties:
raw total energy: -27.44 eV/cell